Computed, not measured: a PBEsol-optimized structure of YZnCo at the SCAN level of DFT.

Output
DOS at the Fermi energy (states/eV per atom): 0.425
Formation energy from the elements (eV/f.u.): -0.5
Spin magnetization (μB/f.u.): 1.2

Unit cell a=3.2579 b=3.2579 c=9.4843 alpha=90.00 beta=90.00 gamma=90.00
Space group I4mm (No. 107)
One atom of each set of equivalent atoms:
Y (0.0000, 0.0000, 0.0000)
Zn (0.0000, 0.0000, 0.7062)
Co (0.0000, 0.0000, 0.3174)